Ac2NiWO6 | PBE+U | optimized geometry

```
Ac2NiWO6
1.0
5.7074 0.0000 0.0000
2.8449 4.9908 0.0000
2.7551 1.5721 4.8049
Ac Ni W O
2 1 1 6
direct
0.2503 0.2428 0.2604
0.7497 0.7572 0.7396
0.5000 0.5000 0.5000
0.0000 0.0000 0.0000
0.1909 0.7913 0.3051
0.2511 0.6714 0.8349
0.3025 0.1999 0.7051
0.6975 0.8001 0.2949
0.7489 0.3286 0.1651
0.8091 0.2087 0.6949
```

## Properties
SG   No. 2
Electronic total energy   -73.2 eV/f.u.